[1]
# ThZrU4 | Alexandria | PBE-GGA | optimized geometry
data_ThZrU4
_chemical_formula_sum 'Th1 Zr1 U4'
_cell_length_a 5.7635
_cell_length_b 5.7635
_cell_length_c 5.7635
_cell_angle_alpha 60.00
_cell_angle_beta 60.00
_cell_angle_gamma 60.00
_space_group_name_H-M_alt 'P 1'
_space_group_IT_number 1
loop_
_space_group_symop_operation_xyz
'x,y,z'
loop_
_atom_site_label
_atom_site_fract_x
_atom_site_fract_y
_atom_site_fract_z
Th1 0.0000 0.0000 0.0000
Zr1 0.7500 0.7500 0.7500
U1 0.3757 0.3757 0.3757
U2 0.3757 0.3757 0.8729
U3 0.3757 0.8729 0.3757
U4 0.8729 0.3757 0.3757
# Total energy in eV for the cell shown: -59.9


[2]
# ThZrU | Alexandria | PBE-GGA | optimized geometry
data_ThZrU
_chemical_formula_sum 'Th2 Zr2 U2'
_cell_length_a 7.2479
_cell_length_b 6.0028
_cell_length_c 5.7961
_cell_angle_alpha 75.78
_cell_angle_beta 53.40
_cell_angle_gamma 50.82
_space_group_name_H-M_alt 'P 1'
_space_group_IT_number 1
loop_
_space_group_symop_operation_xyz
'x,y,z'
loop_
_atom_site_label
_atom_site_fract_x
_atom_site_fract_y
_atom_site_fract_z
Th1 0.1688 0.8312 0.1688
Th2 0.8312 0.1688 0.8312
Zr1 0.3337 0.3337 0.6663
Zr2 0.6663 0.6663 0.3337
U1 0.2500 0.2500 0.2500
U2 0.7500 0.7500 0.7500
# Excess energy over the best structure of this formula in the dataset in eV/f.u.: 0.25
# Total energy in eV for the cell shown: -52.2


[3]
# ThZrU | Alexandria | PBE-GGA | optimized geometry
data_ThZrU
_chemical_formula_sum 'Th1 Zr1 U1'
_cell_length_a 7.8907
_cell_length_b 7.8907
_cell_length_c 7.8907
_cell_angle_alpha 156.76
_cell_angle_beta 156.76
_cell_angle_gamma 33.10
_space_group_name_H-M_alt 'P 1'
_space_group_IT_number 1
loop_
_space_group_symop_operation_xyz
'x,y,z'
loop_
_atom_site_label
_atom_site_fract_x
_atom_site_fract_y
_atom_site_fract_z
Th1 0.0000 0.0000 0.0000
Zr1 0.6750 0.6750 0.0000
U1 0.3312 0.3312 0.0000
# Excess energy over the best structure of this formula in the dataset in eV/f.u.: 0.00
# Total energy in eV for the cell shown: -26.4


[4]
# ThV3 | Alexandria | PBE-GGA | optimized geometry
data_ThV3
_chemical_formula_sum 'Th1 V3'
_cell_length_a 4.5726
_cell_length_b 4.5726
_cell_length_c 3.2949
_cell_angle_alpha 90.00
_cell_angle_beta 90.00
_cell_angle_gamma 90.00
_space_group_name_H-M_alt 'P 1'
_space_group_IT_number 1
loop_
_space_group_symop_operation_xyz
'x,y,z'
loop_
_atom_site_label
_atom_site_fract_x
_atom_site_fract_y
_atom_site_fract_z
Th1 0.0000 0.0000 0.0000
V1 0.0000 0.5000 0.5000
V2 0.5000 0.0000 0.5000
V3 0.5000 0.5000 0.0000
# Total energy in eV for the cell shown: -32.9


[5]
# Th4V | Alexandria | PBE-GGA | optimized geometry
data_Th4V
_chemical_formula_sum 'Th4 V1'
_cell_length_a 5.3898
_cell_length_b 5.3898
_cell_length_c 5.3898
_cell_angle_alpha 90.00
_cell_angle_beta 90.00
_cell_angle_gamma 90.00
_space_group_name_H-M_alt 'P 1'
_space_group_IT_number 1
loop_
_space_group_symop_operation_xyz
'x,y,z'
loop_
_atom_site_label
_atom_site_fract_x
_atom_site_fract_y
_atom_site_fract_z
Th1 0.0000 0.0000 0.0000
Th2 0.0000 0.5000 0.5000
Th3 0.5000 0.0000 0.5000
Th4 0.5000 0.5000 0.0000
V1 0.5000 0.5000 0.5000
# Total energy in eV for the cell shown: -36.6


[6]
# ThV5 | Alexandria | PBE-GGA | optimized geometry
data_ThV5
_chemical_formula_sum 'Th1 V5'
_cell_length_a 6.9975
_cell_length_b 6.9975
_cell_length_c 3.1923
_cell_angle_alpha 90.00
_cell_angle_beta 90.00
_cell_angle_gamma 142.56
_space_group_name_H-M_alt 'P 1'
_space_group_IT_number 1
loop_
_space_group_symop_operation_xyz
'x,y,z'
loop_
_atom_site_label
_atom_site_fract_x
_atom_site_fract_y
_atom_site_fract_z
Th1 0.0000 0.0000 0.0000
V1 0.1779 0.8221 0.5000
V2 0.3218 0.6782 0.0000
V3 0.5000 0.5000 0.5000
V4 0.6782 0.3218 0.0000
V5 0.8221 0.1779 0.5000
# Total energy in eV for the cell shown: -51.3


[7]
# ThV2 | Alexandria | PBE-GGA | optimized geometry
data_ThV2
_chemical_formula_sum 'Th1 V2'
_cell_length_a 6.0179
_cell_length_b 6.0179
_cell_length_c 6.0179
_cell_angle_alpha 148.59
_cell_angle_beta 148.59
_cell_angle_gamma 45.01
_space_group_name_H-M_alt 'P 1'
_space_group_IT_number 1
loop_
_space_group_symop_operation_xyz
'x,y,z'
loop_
_atom_site_label
_atom_site_fract_x
_atom_site_fract_y
_atom_site_fract_z
Th1 0.0000 0.0000 0.0000
V1 0.2977 0.2977 0.0000
V2 0.7023 0.7023 0.0000
# Total energy in eV for the cell shown: -24.6


[8]
# ThV2W | Alexandria | PBE-GGA | optimized geometry
data_ThV2W
_chemical_formula_sum 'Th1 V2 W1'
_cell_length_a 3.1695
_cell_length_b 3.1695
_cell_length_c 7.4566
_cell_angle_alpha 90.00
_cell_angle_beta 90.00
_cell_angle_gamma 90.00
_space_group_name_H-M_alt 'P 1'
_space_group_IT_number 1
loop_
_space_group_symop_operation_xyz
'x,y,z'
loop_
_atom_site_label
_atom_site_fract_x
_atom_site_fract_y
_atom_site_fract_z
Th1 0.0000 0.0000 0.0000
V1 0.5000 0.5000 0.3119
V2 0.5000 0.5000 0.6881
W1 0.0000 0.0000 0.5000
# Excess energy over the best structure of this formula in the dataset in eV/f.u.: 0.00
# Total energy in eV for the cell shown: -37.6


no.,energy of formation from the pure elements (kJ/mol of atoms),N(E_F) (states/eV/cell),M_tot (μB per formula unit)
1,19.21,15.985,0.9
2,36.85,15.649,1.6
3,28.87,5.701,1.7
4,44.86,5.966,0.9
5,43.24,7.354,0.0
6,28.02,8.550,0.0
7,33.33,4.177,0.0
8,25.54,4.905,0.0